Computed, not measured: a geometry-optimized CaZnTe3 structure at the PBE level of DFT.

a = 5.3816 Å, b = 5.3816 Å, c = 5.3816 Å
α = 90.00°, β = 90.00°, γ = 90.00°
Last column: nearest neighbours and their distance in Å.
Element x y z (fractional)
Ca (0.0000, 0.0000, 0.0000)  12 Te 3.81
Zn (0.5000, 0.5000, 0.5000)  6 Te 2.69
Te (0.0000, 0.5000, 0.5000)  2 Zn 2.69
Te (0.5000, 0.0000, 0.5000)  2 Zn 2.69
Te (0.5000, 0.5000, 0.0000)  2 Zn 2.69

Output
Formation energy from raw total energies = -1.4 eV per formula unit

***

Computed, not measured: a geometry-optimized Ti3VZn2 structure at the PBE level of DFT.

a = 3.1113 Å, b = 3.1113 Å, c = 9.6466 Å
α = 90.00°, β = 90.00°, γ = 90.00°
Last column: nearest neighbours and their distance in Å.
Element x y z (fractional)
Ti (0.0000, 0.0000, 0.0000)  8 Zn 2.75
Ti (0.0000, 0.0000, 0.3440)  4 V 2.67, 4 Zn 2.76
Ti (0.0000, 0.0000, 0.6560)  4 V 2.67, 4 Zn 2.76
V (0.5000, 0.5000, 0.5000)  8 Ti 2.67
Zn (0.5000, 0.5000, 0.1711)  8 Ti 2.75-2.76
Zn (0.5000, 0.5000, 0.8289)  8 Ti 2.75-2.76

***

Computed, not measured: a geometry-optimized Cs3LiPu2Te6 structure at the PBE level of DFT.

a = 7.9801 Å, b = 7.9801 Å, c = 9.1640 Å
α = 98.26°, β = 98.26°, γ = 120.05°
Last column: nearest neighbours and their distance in Å.
Element x y z (fractional)
Cs (0.0000, 0.0000, 0.0000)  6 Te 3.81-3.87
Cs (0.3393, 0.6607, 0.0000)  6 Te 3.82-3.86
Cs (0.6607, 0.3393, 0.0000)  6 Te 3.82-3.86
Li (0.5000, 0.5000, 0.5000)  6 Te 3.15-3.20
Pu (0.1672, 0.8328, 0.5000)  6 Te 3.08
Pu (0.8328, 0.1672, 0.5000)  6 Te 3.08
Te (0.0938, 0.4384, 0.3143)  2 Pu 3.08, 1 Li 3.20
Te (0.2185, 0.2185, 0.6813)  2 Pu 3.08, 1 Li 3.15
Te (0.4384, 0.0938, 0.3143)  2 Pu 3.08, 1 Li 3.20
Te (0.5616, 0.9062, 0.6857)  2 Pu 3.08, 1 Li 3.20
Te (0.7815, 0.7815, 0.3187)  2 Pu 3.08, 1 Li 3.15
Te (0.9062, 0.5616, 0.6857)  2 Pu 3.08, 1 Li 3.20

Output
Formation energy from raw total energies = -11.6 eV per formula unit

***

Computed, not measured: a geometry-optimized La2CdIn3Hg6 structure at the PBE level of DFT.

a = 4.7100 Å, b = 4.7100 Å, c = 18.4100 Å
α = 90.00°, β = 90.00°, γ = 90.00°
Last column: nearest neighbours and their distance in Å.
Element x y z (fractional)
La (0.0000, 0.0000, 0.2262)  4 In 3.38, 4 Hg 3.39
La (0.0000, 0.0000, 0.7738)  4 In 3.38, 4 Hg 3.39
Cd (0.0000, 0.0000, 0.0000)  8 Hg 2.92
In (0.5000, 0.5000, 0.1961)  5 Hg 2.81-3.02
In (0.5000, 0.5000, 0.5000)  2 Hg 2.79
In (0.5000, 0.5000, 0.8039)  5 Hg 2.81-3.02
Hg (0.0000, 0.5000, 0.0934)  2 Cd 2.92, 2 In 3.02
Hg (0.0000, 0.5000, 0.9066)  2 Cd 2.92, 2 In 3.02
Hg (0.5000, 0.0000, 0.0934)  2 Cd 2.92, 2 In 3.02
Hg (0.5000, 0.0000, 0.9066)  2 Cd 2.92, 2 In 3.02
Hg (0.5000, 0.5000, 0.3486)  2 In 2.79-2.81
Hg (0.5000, 0.5000, 0.6514)  2 In 2.79-2.81

***

Computed, not measured: a geometry-optimized RbEr2MnTe4 structure at the PBE level of DFT.

a = 7.9797 Å, b = 7.9797 Å, c = 15.4546 Å
α = 90.00°, β = 90.00°, γ = 148.00°
Last column: nearest neighbours and their distance in Å.
Element x y z (fractional)
Rb (0.1142, 0.8858, 0.7500)  6 Te 3.51-3.64
Rb (0.8858, 0.1142, 0.2500)  6 Te 3.51-3.64
Er (0.3698, 0.6302, 0.5632)  6 Te 3.06-3.13
Er (0.3698, 0.6302, 0.9368)  6 Te 3.06-3.13
Er (0.6302, 0.3698, 0.0632)  6 Te 3.06-3.13
Er (0.6302, 0.3698, 0.4368)  6 Te 3.06-3.13
Mn (0.1659, 0.8341, 0.2500)  4 Te 2.67-2.69
Mn (0.8341, 0.1659, 0.7500)  4 Te 2.67-2.69
Te (0.0000, 0.0000, 0.0000)  4 Er 3.13
Te (0.0000, 0.0000, 0.5000)  4 Er 3.13
Te (0.2634, 0.7366, 0.1072)  1 Mn 2.67
Te (0.2634, 0.7366, 0.3928)  1 Mn 2.67
Te (0.4355, 0.5645, 0.7500)  2 Mn 2.69
Te (0.5645, 0.4355, 0.2500)  2 Mn 2.69
Te (0.7366, 0.2634, 0.6072)  1 Mn 2.67
Te (0.7366, 0.2634, 0.8928)  1 Mn 2.67

Output
Formation energy from raw total energies = -8.3 eV per formula unit

***

Computed, not measured: a geometry-optimized GdHoThZr structure at the PBE level of DFT.

a = 5.4862 Å, b = 5.4862 Å, c = 5.4862 Å
α = 60.00°, β = 60.00°, γ = 60.00°
Last column: nearest neighbours and their distance in Å.
Element x y z (fractional)
Gd (0.0000, 0.0000, 0.0000)  4 Zr 3.36, 4 Ho 3.36
Ho (0.2500, 0.2500, 0.2500)  4 Th 3.36, 4 Gd 3.36
Th (0.5000, 0.5000, 0.5000)  4 Zr 3.36, 4 Ho 3.36
Zr (0.7500, 0.7500, 0.7500)  4 Th 3.36, 4 Gd 3.36

***

Computed, not measured: a geometry-optimized LiIn6Pb12 structure at the PBE level of DFT.

a = 8.2897 Å, b = 8.2897 Å, c = 8.2897 Å
α = 88.31°, β = 88.31°, γ = 88.31°
Last column: nearest neighbours and their distance in Å.
Element x y z (fractional)
Li (0.0000, 0.0000, 0.0000)  6 In 3.15, 6 Pb 3.35
In (0.1088, 0.7395, 0.2626)  1 Li 3.15, 6 Pb 3.28-3.43, 2 In 3.29
In (0.2605, 0.7374, 0.8912)  1 Li 3.15, 6 Pb 3.28-3.43, 2 In 3.29
In (0.2626, 0.1088, 0.7395)  1 Li 3.15, 6 Pb 3.28-3.43, 2 In 3.29
In (0.7374, 0.8912, 0.2605)  1 Li 3.15, 6 Pb 3.28-3.43, 2 In 3.29
In (0.7395, 0.2626, 0.1088)  1 Li 3.15, 6 Pb 3.28-3.43, 2 In 3.29
In (0.8912, 0.2605, 0.7374)  1 Li 3.15, 6 Pb 3.28-3.43, 2 In 3.29
Pb (0.0197, 0.1564, 0.3663)  4 In 3.28-3.63, 1 Li 3.35, 5 Pb 3.38-3.59
Pb (0.1564, 0.3663, 0.0197)  4 In 3.28-3.63, 1 Li 3.35, 5 Pb 3.38-3.59
Pb (0.1992, 0.4723, 0.5563)  4 In 3.33-3.65, 5 Pb 3.44-3.59
Pb (0.3663, 0.0197, 0.1564)  4 In 3.28-3.63, 1 Li 3.35, 5 Pb 3.38-3.59
Pb (0.4437, 0.8008, 0.5277)  4 In 3.33-3.65, 5 Pb 3.44-3.59
Pb (0.4723, 0.5563, 0.1992)  4 In 3.33-3.65, 5 Pb 3.44-3.59
Pb (0.5277, 0.4437, 0.8008)  4 In 3.33-3.65, 5 Pb 3.44-3.59
Pb (0.5563, 0.1992, 0.4723)  4 In 3.33-3.65, 5 Pb 3.44-3.59
Pb (0.6337, 0.9803, 0.8436)  4 In 3.28-3.63, 1 Li 3.35, 5 Pb 3.38-3.59
Pb (0.8008, 0.5277, 0.4437)  4 In 3.33-3.65, 5 Pb 3.44-3.59
Pb (0.8436, 0.6337, 0.9803)  4 In 3.28-3.63, 1 Li 3.35, 5 Pb 3.38-3.59
Pb (0.9803, 0.8436, 0.6337)  4 In 3.28-3.63, 1 Li 3.35, 5 Pb 3.38-3.59

***

Computed, not measured: a geometry-optimized BaSmAgSn structure at the PBE level of DFT.

a = 5.6306 Å, b = 5.6306 Å, c = 5.6306 Å
α = 60.00°, β = 60.00°, γ = 60.00°
Last column: nearest neighbours and their distance in Å.
Element x y z (fractional)
Ba (0.0000, 0.0000, 0.0000)  4 Sn 3.45, 4 Ag 3.45
Sm (0.5000, 0.5000, 0.5000)  4 Sn 3.45, 4 Ag 3.45
Ag (0.2500, 0.2500, 0.2500)  4 Ba 3.45, 4 Sm 3.45
Sn (0.7500, 0.7500, 0.7500)  4 Ba 3.45, 4 Sm 3.45

***

Computed, not measured: a geometry-optimized Fe2ReTe structure at the PBE level of DFT.

a = 4.5728 Å, b = 4.5728 Å, c = 3.0635 Å
α = 90.00°, β = 90.00°, γ = 110.60°
Last column: nearest neighbours and their distance in Å.
Element x y z (fractional)
Fe (0.0000, 0.5000, 0.0000)  2 Fe 2.60, 4 Re 2.75, 4 Te 2.75
Fe (0.5000, 0.0000, 0.0000)  2 Fe 2.60, 4 Re 2.75, 4 Te 2.75
Re (0.0000, 0.0000, 0.5000)  2 Te 2.60, 8 Fe 2.75
Te (0.5000, 0.5000, 0.5000)  2 Re 2.60, 8 Fe 2.75

Output
Formation energy from raw total energies = 2.3 eV per formula unit

***

Computed, not measured: a geometry-optimized HoCoCuGe2 structure at the PBE level of DFT.

a = 5.7804 Å, b = 5.7804 Å, c = 5.7804 Å
α = 139.04°, β = 139.04°, γ = 59.31°
Last column: nearest neighbours and their distance in Å.
Element x y z (fractional)
Ho (0.0000, 0.0000, 0.0000)  8 Ge 3.12, 4 Co 3.22, 4 Cu 3.22
Co (0.7500, 0.2500, 0.5000)  4 Ge 2.38
Cu (0.2500, 0.7500, 0.5000)  4 Ge 2.38
Ge (0.3752, 0.3752, 0.0000)  2 Co 2.38, 2 Cu 2.38, 1 Ge 2.51
Ge (0.6248, 0.6248, 0.0000)  2 Co 2.38, 2 Cu 2.38, 1 Ge 2.51

***

Number 1: Fermi-level density of states 4.3 states/eV/cell, total moment 0.000 Bohr magnetons per cell, VASP energy -14.09 eV for the cell shown. Number 2: Fermi-level density of states 8.7 states/eV/cell, total moment 0.002 Bohr magnetons per cell, VASP energy -36.04 eV for the cell shown. Number 3: Fermi-level density of states 20.0 states/eV/cell, total moment 7.994 Bohr magnetons per cell, VASP energy -63.61 eV for the cell shown. Number 4: Fermi-level density of states 8.0 states/eV/cell, total moment 0.000 Bohr magnetons per cell, VASP energy -21.32 eV for the cell shown. Number 5: Fermi-level density of states 6.7 states/eV/cell, total moment 8.223 Bohr magnetons per cell, VASP energy -80.17 eV for the cell shown. Number 6: Fermi-level density of states 7.1 states/eV/cell, total moment 7.855 Bohr magnetons per cell, VASP energy -33.98 eV for the cell shown. Number 7: Fermi-level density of states 10.1 states/eV/cell, total moment 0.000 Bohr magnetons per cell, VASP energy -62.52 eV for the cell shown. Number 8: Fermi-level density of states 1.7 states/eV/cell, total moment 0.000 Bohr magnetons per cell, VASP energy -15.09 eV for the cell shown. Number 9: Fermi-level density of states 4.9 states/eV/cell, total moment 4.482 Bohr magnetons per cell, VASP energy -30.18 eV for the cell shown. Number 10: Fermi-level density of states 3.1 states/eV/cell, total moment 0.493 Bohr magnetons per cell, VASP energy -27.49 eV for the cell shown.